No. 1
A plane-wave DFT calculation with PBE was carried out for crystalline ScCd8 at its relaxed geometry.

```
9
Lattice="-5.474 5.474 1.693 5.474 -5.474 1.693 5.474 5.474 -1.693" Properties=species:S:1:pos:R:3 pbc="T T T"
Sc 0.000 0.000 0.000
Cd 3.641 0.000 0.000
Cd 7.307 0.000 0.000
Cd 0.000 3.641 0.000
Cd 3.660 3.660 0.000
Cd 1.814 -1.814 1.693
Cd -1.814 1.814 1.693
Cd 1.814 1.814 1.693
Cd 0.000 7.307 0.000
```

offset from the most stable computed form: 54 meV per atom
electronic total energy: -1.554 eV/atom
density of states at the Fermi level: 0.58 states/eV/atom
space group: I4/mmm
energy of formation from the pure elements: -0.037 eV per atom

***

No. 2
A plane-wave DFT calculation with PBE was carried out for crystalline Sc8Cd at its relaxed geometry.

```
9
Lattice="-4.855 4.855 2.290 4.855 -4.855 2.290 4.855 4.855 -2.290" Properties=species:S:1:pos:R:3 pbc="T T T"
Sc 3.235 0.000 0.000
Sc 6.475 0.000 0.000
Sc 0.000 3.235 0.000
Sc 3.250 3.250 0.000
Sc 1.605 -1.605 2.290
Sc -1.605 1.605 2.290
Sc 1.605 1.605 2.290
Sc 0.000 6.475 0.000
Cd 0.000 0.000 0.000
```

electronic total energy: -5.740 eV/atom
density of states at the Fermi level: 2.11 states/eV/atom
space group: I4/mmm
energy of formation from the pure elements: -0.010 eV per atom

***

No. 3
A plane-wave DFT calculation with PBE was carried out for crystalline Sc5Cd at its relaxed geometry.

```
6
Lattice="5.447 -2.471 0.000 5.447 2.471 0.000 -3.338 0.000 5.282" Properties=species:S:1:pos:R:3 pbc="T T T"
Sc 0.000 0.000 0.000
Sc 1.156 0.000 3.504
Sc 3.158 0.000 0.998
Sc 4.398 0.000 4.284
Sc 6.400 0.000 1.778
Cd -1.669 0.000 2.641
```

offset from the most stable computed form: 18 meV per atom
electronic total energy: -5.479 eV/atom
density of states at the Fermi level: 1.45 states/eV/atom
space group: C2/m
energy of formation from the pure elements: -0.050 eV per atom